Entry 1:
The following is a GGA-PBEsol calculation of a relaxed LiMgAg2 crystal, from the Alexandria database.

**D(E_F)**: 1.439 states/eV per cell
**Space-group type**: P4/mmm, No. 123
**Magnetization**: 0.0 μB/f.u.
**Formation energy**: -0.215 eV/atom

Cell: 3.1945 3.1945 6.4083 Å, 90.00 90.00 90.00°
Element x y z (fractional)
Li: 0.0000 0.0000 0.0000
Mg: 0.0000 0.0000 0.5000
Ag: 0.5000 0.5000 0.2325
Ag: 0.5000 0.5000 0.7675



Entry 2:
The following is a GGA-PBEsol calculation of a relaxed LiReSi2 crystal, from the Alexandria database.

**D(E_F)**: 3.172 states/eV per cell
**Polymorph energy (0 for the lowest one)**: 0.133 eV per atom
**Space-group type**: I-4m2, No. 119
**E_form (uncorrected)**: -0.075 eV/atom
**Magnetization**: 0.0 μB/f.u.

Cell: 4.6699 4.6699 4.6699 Å, 134.93 134.93 65.65°
Element x y z (fractional)
Li: 0.0000 0.0000 0.0000
Re: 0.7500 0.2500 0.5000
Si: 0.2500 0.7500 0.5000
Si: 0.5000 0.5000 0.0000



Entry 3:
The following is a GGA-PBEsol calculation of a relaxed La2ReBr crystal, from the Alexandria database.

**D(E_F)**: 1.709 states/eV per cell
**Polymorph energy (0 for the lowest one)**: 0.000 eV per atom
**Space-group type**: Amm2, No. 38
**E_form (uncorrected)**: -0.316 eV/atom
**Magnetization**: 0.0 μB/f.u.

Cell: 4.9044 5.8968 5.8968 Å, 35.64 90.00 90.00°
Element x y z (fractional)
La: 0.0000 0.0000 0.0000
La: 0.5000 0.2655 0.2655
Re: 0.5000 0.4859 0.4859
Br: 0.0000 0.7340 0.7340